Material: HgSb2WO
Method: DFT, GGA+U
State: optimized geometry

Properties
The total energy is -10.1 eV for the cell shown. Its space-group type is P4/mmm (123). The magnetization comes out at 1.465 μB per formula unit. Its density is 6.7 g/cm3.

```
HgSb2WO
1.0
-1.677 -4.952 1.661
3.937 -0.131 3.584
-3.291 2.356 3.702
O Sb Hg W
1 2 1 1
Direct
0.500 0.500 0.500
0.000 0.000 0.500
0.500 0.000 0.000
0.000 0.000 0.000
0.000 0.500 0.000
```